Na4B5C3: optimized geometry, GGA-PBE.

Cell lengths 2.8633, 2.8633, 34.0056 Å; angles 90.00, 90.00, 120.00 degrees
Space group P-3m1 (No. 164)
Inequivalent atoms, fractional coordinates:
1 Na 0.0000 0.0000 0.0000 x1
2 Na 0.0000 0.0000 0.1236 x2
3 Na 0.0000 0.0000 0.2480 x2
4 Na 0.0000 0.0000 0.3756 x2
5 Na 0.0000 0.0000 0.5000 x1
6 B 0.3333 0.6667 0.1853 x2
7 B 0.3333 0.6667 0.3118 x2
8 B 0.3333 0.6667 0.4381 x2
9 B 0.3333 0.6667 0.6882 x2
10 B 0.3333 0.6667 0.9382 x2
11 C 0.3333 0.6667 0.0618 x2
12 C 0.3333 0.6667 0.5618 x2
13 C 0.3333 0.6667 0.8148 x2

Output
total magnetic moment: 0.0 μB per formula unit
distance to the lowest polymorph of the same formula: 36.4 meV per atom

NaBC: optimized geometry, GGA-PBE.

Cell lengths 2.810, 4.226, 4.946 Å; angles 90.00, 90.00, 90.00 degrees
Space group Pmmm (No. 47)
Inequivalent atoms, fractional coordinates:
1 Na 0.000 0.000 0.000 x1
2 Na 0.500 0.000 0.500 x1
3 B 0.000 0.500 0.319 x2
4 C 0.500 0.500 0.155 x2

Output
total magnetic moment: 0.0 μB per formula unit

Na8B15C: optimized geometry, GGA-PBE.

Cell lengths 18.187, 2.958, 10.560 Å; angles 90.00, 106.91, 90.00 degrees
Space group Cm (No. 8)
Inequivalent atoms, fractional coordinates:
1 Na 0.000 0.000 0.000 x2
2 Na 0.000 0.000 0.500 x2
3 Na 0.000 0.500 0.251 x2
4 Na 0.001 0.500 0.751 x2
5 Na 0.248 0.000 0.624 x2
6 Na 0.249 0.000 0.126 x2
7 Na 0.249 0.500 0.874 x2
8 Na 0.250 0.500 0.375 x2
9 B 0.124 0.000 0.226 x2
10 B 0.124 0.000 0.726 x2
11 B 0.124 0.500 0.149 x2
12 B 0.124 0.500 0.648 x2
13 B 0.125 0.000 0.399 x2
14 B 0.125 0.000 0.899 x2
15 B 0.125 0.500 0.476 x2
16 B 0.125 0.500 0.977 x2
17 B 0.374 0.000 0.009 x2
18 B 0.374 0.000 0.852 x2
19 B 0.374 0.500 0.112 x2
20 B 0.374 0.500 0.751 x2
21 B 0.375 0.000 0.366 x2
22 B 0.375 0.000 0.531 x2
23 B 0.375 0.500 0.272 x2
24 C 0.375 0.500 0.604 x2

Output
total magnetic moment: 0.0 μB per formula unit
distance to the lowest polymorph of the same formula: 4.8 meV per atom

Na2B3C: optimized geometry, GGA-PBE.

Cell lengths 13.975, 5.235, 10.303 Å; angles 90.00, 122.83, 90.00 degrees
Space group C2 (No. 5)
Inequivalent atoms, fractional coordinates:
1 Na 0.001 0.000 0.251 x4
2 Na 0.101 0.496 0.753 x4
3 Na 0.102 0.494 0.256 x4
4 Na 0.200 0.999 0.750 x4
5 Na 0.202 0.997 0.255 x4
6 B 0.000 0.177 0.500 x2
7 B 0.000 0.849 0.500 x2
8 B 0.000 0.867 0.000 x2
9 B 0.095 0.629 0.501 x4
10 B 0.095 0.644 0.000 x4
11 B 0.100 0.315 0.000 x4
12 B 0.194 0.842 0.500 x4
13 B 0.197 0.168 0.500 x4
14 B 0.202 0.846 0.000 x4
15 C 0.000 0.158 0.000 x2
16 C 0.098 0.334 0.500 x4
17 C 0.202 0.158 0.000 x4

Output
total magnetic moment: 0.0 μB per formula unit
distance to the lowest polymorph of the same formula: 36.7 meV per atom

Na5B9C: optimized geometry, GGA-PBE.

Cell lengths 2.800, 27.198, 8.741 Å; angles 90.00, 90.00, 90.00 degrees
Space group Cmcm (No. 63)
Inequivalent atoms, fractional coordinates:
1 Na 0.000 0.000 0.000 x4
2 Na 0.000 0.199 0.000 x8
3 Na 0.000 0.401 0.000 x8
4 B 0.000 0.062 0.250 x4
5 B 0.000 0.066 0.750 x4
6 B 0.000 0.126 0.250 x4
7 B 0.000 0.127 0.750 x4
8 B 0.000 0.270 0.250 x4
9 B 0.000 0.271 0.750 x4
10 B 0.000 0.332 0.250 x4
11 B 0.000 0.333 0.750 x4
12 B 0.000 0.475 0.250 x4
13 C 0.000 0.468 0.750 x4

Output
total magnetic moment: 0.0 μB per formula unit
distance to the lowest polymorph of the same formula: 5.1 meV per atom

Na5B8C2: optimized geometry, GGA-PBE.

Cell lengths 5.046, 7.763, 9.128 Å; angles 107.77, 90.50, 107.63 degrees
Space group P-1 (No. 2)
Inequivalent atoms, fractional coordinates:
1 Na 0.000 0.000 0.000 x1
2 Na 0.103 0.200 0.498 x2
3 Na 0.202 0.401 0.001 x2
4 Na 0.299 0.600 0.501 x2
5 Na 0.397 0.800 0.999 x2
6 Na 0.500 0.000 0.500 x1
7 B 0.016 0.686 0.750 x2
8 B 0.109 0.900 0.250 x2
9 B 0.181 0.688 0.249 x2
10 B 0.246 0.119 0.750 x2
11 B 0.272 0.893 0.749 x2
12 B 0.329 0.306 0.250 x2
13 B 0.376 0.093 0.250 x2
14 B 0.401 0.488 0.750 x2
15 C 0.081 0.495 0.750 x2
16 C 0.492 0.304 0.751 x2

Output
total magnetic moment: 0.0 μB per formula unit
distance to the lowest polymorph of the same formula: 28.8 meV per atom

Na2B3C: optimized geometry, GGA-PBE.

Cell lengths 23.252, 2.822, 10.083 Å; angles 90.00, 106.67, 90.00 degrees
Space group Cm (No. 8)
Inequivalent atoms, fractional coordinates:
1 Na 0.000 0.000 0.000 x2
2 Na 0.000 0.500 0.492 x2
3 Na 0.100 0.000 0.695 x2
4 Na 0.100 0.500 0.197 x2
5 Na 0.199 0.000 0.389 x2
6 Na 0.201 0.500 0.897 x2
7 Na 0.299 0.500 0.592 x2
8 Na 0.300 0.000 0.096 x2
9 Na 0.399 0.500 0.293 x2
10 Na 0.400 0.000 0.797 x2
11 B 0.019 0.000 0.282 x2
12 B 0.028 0.500 0.802 x2
13 B 0.085 0.000 0.413 x2
14 B 0.120 0.000 0.986 x2
15 B 0.175 0.500 0.594 x2
16 B 0.214 0.500 0.172 x2
17 B 0.217 0.000 0.679 x2
18 B 0.280 0.000 0.807 x2
19 B 0.308 0.000 0.361 x2
20 B 0.322 0.500 0.892 x2
21 B 0.376 0.000 0.496 x2
22 B 0.388 0.500 0.022 x2
23 B 0.420 0.500 0.585 x2
24 B 0.479 0.000 0.204 x2
25 B 0.484 0.500 0.714 x2
26 C 0.088 0.500 0.922 x2
27 C 0.116 0.500 0.475 x2
28 C 0.182 0.000 0.110 x2
29 C 0.277 0.500 0.298 x2
30 C 0.418 0.000 0.084 x2

Output
total magnetic moment: 0.0 μB per formula unit
distance to the lowest polymorph of the same formula: 16.6 meV per atom

NaBC: optimized geometry, GGA-PBE.

Cell lengths 3.831, 3.831, 2.834 Å; angles 90.00, 90.00, 90.00 degrees
Space group P4/mmm (No. 123)
Inequivalent atoms, fractional coordinates:
1 Na 0.000 0.000 0.000 x1
2 B 0.500 0.500 0.000 x1
3 C 0.500 0.500 0.500 x1

Output
total magnetic moment: 0.0 μB per formula unit

Na5B8C2: optimized geometry, GGA-PBE.

Cell lengths 8.661, 2.812, 26.461 Å; angles 90.00, 90.00, 90.00 degrees
Space group Amm2 (No. 38)
Inequivalent atoms, fractional coordinates:
1 Na 0.247 0.000 0.000 x4
2 Na 0.248 0.000 0.598 x4
3 Na 0.250 0.000 0.198 x4
4 Na 0.251 0.000 0.800 x4
5 Na 0.253 0.000 0.401 x4
6 B 0.000 0.000 0.070 x2
7 B 0.000 0.000 0.270 x2
8 B 0.000 0.000 0.333 x2
9 B 0.000 0.000 0.465 x2
10 B 0.000 0.000 0.531 x2
11 B 0.000 0.000 0.661 x2
12 B 0.000 0.000 0.727 x2
13 B 0.000 0.000 0.875 x2
14 B 0.500 0.000 0.122 x2
15 B 0.500 0.000 0.270 x2
16 B 0.500 0.000 0.333 x2
17 B 0.500 0.000 0.532 x2
18 B 0.500 0.000 0.663 x2
19 B 0.500 0.000 0.726 x2
20 B 0.500 0.000 0.874 x2
21 B 0.500 0.000 0.941 x2
22 C 0.000 0.000 0.131 x2
23 C 0.000 0.000 0.934 x2
24 C 0.500 0.000 0.063 x2
25 C 0.500 0.000 0.471 x2

Output
total magnetic moment: 0.0 μB per formula unit
distance to the lowest polymorph of the same formula: 8.4 meV per atom

Na8B9C7: optimized geometry, GGA-PBE.

Cell lengths 17.152, 4.943, 5.668 Å; angles 90.00, 99.51, 90.00 degrees
Space group C2 (No. 5)
Inequivalent atoms, fractional coordinates:
1 Na 0.125 0.000 0.063 x4
2 Na 0.125 0.498 0.313 x4
3 Na 0.125 0.498 0.813 x4
4 Na 0.127 0.998 0.563 x4
5 B 0.000 0.318 0.000 x2
6 B 0.000 0.335 0.500 x2
7 B 0.000 0.659 0.000 x2
8 B 0.000 0.842 0.261 x4
9 B 0.250 0.166 0.375 x4
10 B 0.250 0.166 0.875 x4
11 C 0.000 0.164 0.255 x4
12 C 0.000 0.664 0.500 x2
13 C 0.250 0.332 0.125 x4
14 C 0.250 0.332 0.625 x4

Output
total magnetic moment: 0.0 μB per formula unit
distance to the lowest polymorph of the same formula: 15.1 meV per atom

Na2B3C: optimized geometry, GGA-PBE.

Cell lengths 8.591, 2.839, 25.989 Å; angles 90.00, 90.00, 90.00 degrees
Space group Amm2 (No. 38)
Inequivalent atoms, fractional coordinates:
1 Na 0.245 0.000 0.000 x4
2 Na 0.247 0.000 0.199 x4
3 Na 0.249 0.000 0.399 x4
4 Na 0.250 0.000 0.600 x4
5 Na 0.250 0.000 0.799 x4
6 B 0.000 0.000 0.129 x2
7 B 0.000 0.000 0.333 x2
8 B 0.000 0.000 0.466 x2
9 B 0.000 0.000 0.535 x2
10 B 0.000 0.000 0.669 x2
11 B 0.000 0.000 0.738 x2
12 B 0.000 0.000 0.926 x2
13 B 0.500 0.000 0.065 x2
14 B 0.500 0.000 0.131 x2
15 B 0.500 0.000 0.261 x2
16 B 0.500 0.000 0.328 x2
17 B 0.500 0.000 0.474 x2
18 B 0.500 0.000 0.670 x2
19 B 0.500 0.000 0.869 x2
20 B 0.500 0.000 0.933 x2
21 C 0.000 0.000 0.066 x2
22 C 0.000 0.000 0.269 x2
23 C 0.000 0.000 0.864 x2
24 C 0.500 0.000 0.534 x2
25 C 0.500 0.000 0.731 x2

Output
total magnetic moment: 0.0 μB per formula unit
distance to the lowest polymorph of the same formula: 25.4 meV per atom

Na8B9C7: optimized geometry, GGA-PBE.

Cell lengths 2.8411, 2.8411, 33.8032 Å; angles 90.00, 90.00, 120.00 degrees
Space group P-6m2 (No. 187)
Inequivalent atoms, fractional coordinates:
1 Na 0.0000 0.0000 0.0621 x2
2 Na 0.0000 0.0000 0.1864 x2
3 Na 0.0000 0.0000 0.3108 x2
4 Na 0.0000 0.0000 0.4359 x2
5 B 0.3333 0.6667 0.1242 x2
6 B 0.3333 0.6667 0.3729 x2
7 B 0.3333 0.6667 0.5000 x1
8 B 0.6667 0.3333 0.0000 x1
9 B 0.6667 0.3333 0.2485 x2
10 B 0.6667 0.3333 0.5000 x1
11 C 0.3333 0.6667 0.0000 x1
12 C 0.3333 0.6667 0.2485 x2
13 C 0.6667 0.3333 0.1242 x2
14 C 0.6667 0.3333 0.3728 x2

Output
total magnetic moment: 0.0 μB per formula unit
distance to the lowest polymorph of the same formula: 14.4 meV per atom

It is found that the density of states at the Fermi level values, taken in the order of the records, are 2.83; 0.43; 11.04; 9.31; 19.72; 6.94; 13.07; 0.07; 8.55; 2.89; 15.95; 1.84 states/eV/cell.
It is found that the formation enthalpy at 0 K values, taken in the order of the records, are 0.0971; 0.0950; 0.2739; 0.1700; 0.2417; 0.1992; 0.1499; 0.1574; 0.1788; 0.0449; 0.1588; 0.0442 eV per atom.